No. 1
The following is a DFT calculation (PBE) of crystalline Rb3NbCu at its relaxed geometry.

a = 6.4629 Å, b = 6.4629 Å, c = 6.4629 Å
α = 90.00°, β = 90.00°, γ = 90.00°
Each line ends with the local moment (μB).
Element x y z (fractional)
Nb 0.5000 0.5000 0.5000  3.12
Cu 0.0000 0.0000 0.0000  0.01
Rb 0.0000 0.5000 0.0000  0.02
Rb 0.0000 0.0000 0.5000  0.02
Rb 0.5000 0.0000 0.0000  0.01

Computed properties:
ΔH_f (0 K)	1.227	eV per atom

=====

No. 2
The following is a DFT calculation (PBE) of crystalline RbNbCu3 at its relaxed geometry.

a = 4.9437 Å, b = 4.9437 Å, c = 4.9437 Å
α = 90.00°, β = 90.00°, γ = 90.00°
Each line ends with the local moment (μB).
Element x y z (fractional)
Nb 0.5000 0.5000 0.5000  2.22
Cu 0.0000 0.5000 0.0000  -0.01
Cu 0.0000 0.0000 0.5000  -0.02
Cu 0.5000 0.0000 0.0000  0.05
Rb 0.0000 0.0000 0.0000  -0.02

Computed properties:
ΔH_f (0 K)	2.176	eV per atom

=====

No. 3
The following is a DFT calculation (PBE) of crystalline Rb2NbCu2S4 at its relaxed geometry.

a = 3.7524 Å, b = 7.7758 Å, c = 7.2090 Å
α = 107.20°, β = 105.09°, γ = 90.00°
Each line ends with the local moment (μB).
Element x y z (fractional)
Rb 0.1354 0.5607 0.2708  0.00
Rb 0.8646 0.4393 0.7292  0.00
Nb 0.0000 0.0000 0.0000  0.53
Cu 0.6764 0.9838 0.3528  0.00
Cu 0.3236 0.0162 0.6472  0.00
S 0.1900 0.1657 0.3801  -0.01
S 0.8100 0.8343 0.6199  -0.01
S 0.5174 0.7835 0.0348  0.00
S 0.4826 0.2165 0.9652  0.00

Computed properties:
formation energy from raw total energies	-0.815	eV/atom

=====

No. 4
The following is a DFT calculation (PBE) of crystalline RbNbCu2S4 at its relaxed geometry.

a = 6.3201 Å, b = 6.3201 Å, c = 6.4339 Å
α = 119.42°, β = 119.42°, γ = 90.01°
Element x y z (fractional)
Rb 0.0002 0.0002 0.0004
Nb 0.5000 0.5000 0.0001
Cu 0.7499 0.2500 0.4999
Cu 0.2500 0.7499 0.4999
S 0.5380 0.5380 0.6787
S 0.4621 0.8593 0.3215
S 0.8593 0.4621 0.3215
S 0.1407 0.1407 0.6786

Computed properties:
formation energy from raw total energies	-0.640	eV/atom

=====

No. 5
The following is a DFT calculation (PBE) of crystalline RbNb2CuS6 at its relaxed geometry.

a = 7.7661 Å, b = 8.6999 Å, c = 8.6999 Å
α = 98.03°, β = 75.63°, γ = 75.63°
Element x y z (fractional)
Rb 0.2500 0.8569 0.1431
Rb 0.7500 0.1431 0.8569
Nb 0.3613 0.7128 0.5735
Nb 0.1387 0.4265 0.2872
Nb 0.6387 0.2872 0.4265
Nb 0.8613 0.5735 0.7128
Cu 0.2500 0.1803 0.8197
Cu 0.7500 0.8197 0.1803
S 0.1989 0.9305 0.7851
S 0.3011 0.2149 0.0695
S 0.8011 0.0695 0.2149
S 0.6989 0.7851 0.9305
S 0.5224 0.8356 0.4102
S 0.9776 0.5898 0.1644
S 0.4776 0.1644 0.5898
S 0.0224 0.4102 0.8356
S 0.0550 0.6886 0.5342
S 0.4450 0.4658 0.3114
S 0.9450 0.3114 0.4658
S 0.5550 0.5342 0.6886

Computed properties:
formation energy from raw total energies	-0.770	eV/atom

=====

No. 6
The following is a DFT calculation (PBE) of crystalline RbNb2CuSe at its relaxed geometry.

a = 4.8748 Å, b = 5.5451 Å, c = 4.8748 Å
α = 90.00°, β = 90.00°, γ = 90.00°
Each line ends with the local moment (μB).
Element x y z (fractional)
Nb 0.0000 0.0000 0.5000  0.54
Nb 0.5000 0.0000 0.0000  0.48
Cu 0.5000 0.5000 0.5000  0.00
Se 0.0000 0.5000 0.0000  0.06
Rb 0.0000 0.0000 0.0000  0.05

Computed properties:
formation energy from raw total energies	2.706	eV/atom

=====

No. 7
The following is a DFT calculation (PBE) of crystalline RbNbCu2Si at its relaxed geometry.

a = 4.5860 Å, b = 5.8892 Å, c = 4.5860 Å
α = 90.00°, β = 90.00°, γ = 90.00°
Each line ends with the local moment (μB).
Element x y z (fractional)
Nb 0.5000 0.5000 0.5000  3.04
Si 0.0000 0.0000 0.0000  -0.07
Cu 0.0000 0.0000 0.5000  -0.01
Cu 0.5000 0.0000 0.0000  -0.03
Rb 0.0000 0.5000 0.0000  0.09

Computed properties:
formation energy from raw total energies	1.392	eV/atom

=====

No. 8
The following is a DFT calculation (PBE) of crystalline Rb2NbCuTe4 at its relaxed geometry.

a = 6.0829 Å, b = 8.1552 Å, c = 13.7139 Å
α = 85.26°, β = 77.19°, γ = 68.10°
Element x y z (fractional)
Rb 0.1826 0.0000 0.6348
Rb 0.8174 0.0000 0.3652
Rb 0.5674 0.5000 0.8652
Rb 0.9326 0.5000 0.1348
Nb 0.2500 0.5000 0.5000
Nb 0.5000 0.0000 0.0000
Cu 0.7500 0.5000 0.5000
Cu 0.0000 0.0000 0.0000
Te 0.2911 0.8002 0.1148
Te 0.2060 0.1998 0.8852
Te 0.9087 0.8002 0.8852
Te 0.5942 0.1998 0.1148
Te 0.4589 0.6998 0.3852
Te 0.5440 0.3002 0.6148
Te 0.8413 0.6998 0.6148
Te 0.1558 0.3002 0.3852

Computed properties:
formation energy from raw total energies	-0.657	eV/atom

=====

no.,energy (hartree per atom)
1,-0.0804
2,-0.0915
3,-0.1798
4,-0.1877
5,-0.2119
6,-0.1114
7,-0.1300
8,-0.1558